Entry 1:
Below is a relaxed structure of SrGaIN2, with properties calculated at the GGA-PBE level.

Cell lengths 4.2774, 4.2774, 5.5963 Å; angles 90.00, 90.00, 90.00 degrees
With the nearest neighbours (Å) after each atom.
Fractional coordinates of all 5 atoms:
Sr1 0.0000 0.0000 0.0000  4 I 3.02
Ga1 0.5000 0.5000 0.5000  4 N 2.14
I1 0.5000 0.5000 0.0000  2 Ga 2.80, 4 Sr 3.02
N1 0.0000 0.5000 0.5000  2 Ga 2.14
N2 0.5000 0.0000 0.5000  2 Ga 2.14

## Properties
E above lowest polymorph ... 0.0 meV per atom
Final energy ... -3.9977 eV/atom
Crystal system ... tetragonal
Fermi-level density of states ... 0.7575 states/eV/atom
SG ... P4/mmm, No. 123



Entry 2:
Below is a relaxed structure of RbAcPa2O8, with properties calculated at the GGA-PBE level.

Cell lengths 6.8473, 6.8473, 6.8473 Å; angles 129.90, 129.90, 73.57 degrees
With the nearest neighbours (Å) after each atom.
Fractional coordinates of all 12 atoms:
Rb1 0.0000 0.0000 0.0000  8 O 2.69
Ac1 0.7500 0.2500 0.5000  8 O 2.57
Pa1 0.2500 0.7500 0.5000  8 O 2.34
Pa2 0.5000 0.5000 0.0000  8 O 2.31
O1 0.1654 0.1317 0.5554  2 Pa 2.31-2.34, 1 O 2.38, 1 Ac 2.57
O2 0.1654 0.6100 0.0337  2 Pa 2.31-2.34, 1 O 2.38, 1 Ac 2.57
O3 0.3900 0.4237 0.5554  2 Pa 2.31-2.34, 1 O 2.38, 1 Ac 2.57
O4 0.3900 0.8346 0.9663  2 Pa 2.31-2.34, 1 O 2.38, 1 Ac 2.57
O5 0.5763 0.1317 0.9663  2 Pa 2.31-2.34, 1 O 2.38, 1 Ac 2.57
O6 0.5763 0.6100 0.4446  2 Pa 2.31-2.34, 1 O 2.38, 1 Ac 2.57
O7 0.8683 0.4237 0.0337  2 Pa 2.31-2.34, 1 O 2.38, 1 Ac 2.57
O8 0.8683 0.8346 0.4446  2 Pa 2.31-2.34, 1 O 2.38, 1 Ac 2.57

## Properties
Final energy ... -8.1514 eV/atom
Crystal system ... tetragonal
Fermi-level density of states ... 0.5994 states/eV/atom
SG ... I-4m2, No. 119



Entry 3:
Below is a relaxed structure of CsPtCl4, with properties calculated at the GGA-PBE level.

Cell lengths 6.5521, 6.5521, 13.1090 Å; angles 104.63, 104.63, 53.07 degrees
With the nearest neighbours (Å) after each atom.
Fractional coordinates of all 12 atoms:
Cs1 0.0000 0.5000 0.0000  12 Cl 3.73-4.15
Cs2 0.5000 0.0000 0.5000  12 Cl 3.73-4.15
Pt1 0.2487 0.7513 0.7500  4 Cl 2.27-2.30
Pt2 0.7513 0.2487 0.2500  4 Cl 2.27-2.30
Cl1 0.0499 0.5530 0.7318  1 Pt 2.27
Cl2 0.2096 0.7113 0.5680  1 Pt 2.30
Cl3 0.2887 0.7904 0.9320  1 Pt 2.30
Cl4 0.4470 0.9501 0.7682  1 Pt 2.27
Cl5 0.5530 0.0499 0.2318  1 Pt 2.27
Cl6 0.7113 0.2096 0.0680  1 Pt 2.30
Cl7 0.7904 0.2887 0.4320  1 Pt 2.30
Cl8 0.9501 0.4470 0.2682  1 Pt 2.27

## Properties
Final energy ... -3.3010 eV/atom
Crystal system ... monoclinic
Fermi-level density of states ... 1.0883 states/eV/atom
SG ... C2/c, No. 15



Entry 4:
Below is a relaxed structure of Th2ZnSnRu, with properties calculated at the GGA-PBE level.

Cell lengths 7.7300, 4.2450, 7.8541 Å; angles 90.00, 106.95, 90.00 degrees
With the nearest neighbours (Å) after each atom.
Fractional coordinates of all 10 atoms:
Th1 0.1043 0.2500 0.3450  2 Ru 2.85
Th2 0.2840 0.2500 0.9737  3 Ru 2.82-3.02
Th3 0.7160 0.7500 0.0263  3 Ru 2.82-3.02
Th4 0.8957 0.7500 0.6550  2 Ru 2.85
Zn1 0.4398 0.7500 0.3391  1 Ru 2.59, 2 Sn 2.77
Zn2 0.5602 0.2500 0.6609  1 Ru 2.59, 2 Sn 2.77
Sn1 0.3314 0.7500 0.6644  3 Zn 2.77-2.91
Sn2 0.6686 0.2500 0.3356  3 Zn 2.77-2.91
Ru1 0.1221 0.7500 0.1078  1 Zn 2.59, 4 Th 2.82-2.85
Ru2 0.8779 0.2500 0.8922  1 Zn 2.59, 4 Th 2.82-2.85

## Properties
ΔE_f ... -461 meV/atom
Final energy ... -6.3397 eV/atom
Crystal system ... monoclinic
Fermi-level density of states ... 0.6617 states/eV/atom
SG ... P2_1/m, No. 11



Entry 5:
Below is a relaxed structure of Li4MgAg2, with properties calculated at the GGA-PBE level.

Cell lengths 7.6522, 7.6522, 7.6522 Å; angles 143.08, 143.08, 53.21 degrees
With the nearest neighbours (Å) after each atom.
Fractional coordinates of all 7 atoms:
Li1 0.0000 0.5000 0.5000  2 Mg 2.42
Li2 0.2046 0.2046 0.0000  1 Ag 2.66, 1 Mg 2.80
Li3 0.5000 0.0000 0.5000  2 Mg 2.42
Li4 0.7954 0.7954 0.0000  1 Ag 2.66, 1 Mg 2.80
Mg1 0.0000 0.0000 0.0000  4 Li 2.42
Ag1 0.3987 0.3987 0.0000  5 Li 2.66-2.79, 1 Ag 2.77
Ag2 0.6013 0.6013 0.0000  5 Li 2.66-2.79, 1 Ag 2.77

## Properties
E above lowest polymorph ... 344.5 meV per atom
ΔE_f ... 249 meV/atom
Final energy ... -1.8872 eV/atom
Crystal system ... tetragonal
Fermi-level density of states ... 0.6180 states/eV/atom
SG ... I4/mmm, No. 139



Entry 6:
Below is a relaxed structure of BaAs, with properties calculated at the GGA-PBE level.

Cell lengths 4.0354, 4.0354, 4.0354 Å; angles 90.00, 90.00, 90.00 degrees
With the nearest neighbours (Å) after each atom.
Fractional coordinates of all 2 atoms:
Ba1 0.0000 0.0000 0.0000  8 As 3.49
As1 0.5000 0.5000 0.5000  8 Ba 3.49

## Properties
ΔE_f ... -779 meV/atom
Final energy ... -4.0649 eV/atom
Crystal system ... cubic
Fermi-level density of states ... 1.5091 states/eV/atom
SG ... Pm-3m, No. 221



Look up the final energy of the sixth one. -4.0649 eV/atom



The lowest final energy belongs to which entry? RbAcPa2O8



Number 6 is which compound? BaAs



Among the records above, which one has the highest final energy? Li4MgAg2